w) First-principles (PBE-GGA) data for a geometry-optimized Zr3VCu structure, as listed in Alexandria via LeMat-Bulk.

Cell: 4.845 4.845 4.845 Å, 90.00 90.00 90.00°
Positions (direct):
Zr 0.000 0.500 0.000
Zr 0.000 0.000 0.500
Zr 0.500 0.000 0.000
Cu 0.500 0.500 0.500
V 0.000 0.000 0.000

Computed properties:
ρ: 5.67 g cm⁻³

x) First-principles (PBE-GGA) data for a geometry-optimized Zr3VCu structure, as listed in Alexandria via LeMat-Bulk.

Cell: 4.900 4.900 4.900 Å, 90.00 90.00 90.00°
Positions (direct):
Zr 0.000 0.500 0.000
Zr 0.000 0.000 0.500
Zr 0.500 0.000 0.000
Cu 0.000 0.000 0.000
V 0.500 0.500 0.500

Computed properties:
ρ: 5.48 g cm⁻³

It is w) that is the least stable of them.

w) First-principles (PBE-GGA) data for a geometry-optimized Zr2VCu structure, as listed in Alexandria via LeMat-Bulk.

Cell: 4.675 4.675 4.675 Å, 60.00 60.00 60.00°
Positions (direct):
Cu 0.500 0.500 0.500
Zr 0.250 0.250 0.250
Zr 0.750 0.750 0.750
V 0.000 0.000 0.000

Computed properties:
ρ: 6.83 g cm⁻³

x) First-principles (PBE-GGA) data for a geometry-optimized Zr2VCu structure, as listed in Alexandria via LeMat-Bulk.

Cell: 4.029 4.029 9.994 Å, 78.37 78.37 90.00°
Positions (direct):
Zr 0.626 0.125 0.250
Zr 0.124 0.625 0.250
Zr 0.375 0.374 0.750
Zr 0.875 0.876 0.750
Cu 0.000 0.000 0.000
Cu 0.750 0.250 0.500
V 0.500 0.500 0.000
V 0.250 0.750 0.500

Computed properties:
ρ: 6.34 g cm⁻³

It is x) that is the least stable of them.